Below is an optimized crystal structure of PrNdDyTh, with properties calculated at the PBE level.

Cell: 3.6186 3.6186 10.3301 Å, 90.00 90.00 90.00°
Atoms (fractional coordinates):
Pr 0.0000 0.0000 0.0000
Nd 0.5000 0.5000 0.7314
Dy 0.5000 0.5000 0.2564
Th 0.0000 0.0000 0.4902

The value obtained for the energy relative to the lowest polymorph listed for this composition is 0.0000 eV/atom. The calculation puts the density of states at the Fermi level at 1.2723 states/eV/atom. The calculation puts the electronic total energy at -5.364 eV/atom. As for the formation energy: 3 kJ per mole of atoms. Its space-group type is No. 99. The crystal system is tetragonal.



Below is an optimized crystal structure of PuZnH2O6, with properties calculated at the PBE level.

Cell: 5.3155 5.3731 5.6867 Å, 64.44 62.43 62.84°
Atoms (fractional coordinates):
Pu 0.0000 0.0000 0.0000
Zn 0.5012 0.5108 0.5044
H 0.3412 0.4312 0.2126
H 0.9345 0.4842 0.5640
O 0.1404 0.7422 0.7955
O 0.2473 0.5903 0.2974
O 0.3250 0.1329 0.7750
O 0.6452 0.9075 0.1994
O 0.7740 0.3953 0.6985
O 0.8843 0.2107 0.2404

The calculation puts the electronic total energy at -6.724 eV/atom. Its space-group type is No. 1. The crystal system is triclinic.



Below is an optimized crystal structure of Y4CoRu, with properties calculated at the PBE level.

Cell: 5.9507 5.9507 5.9507 Å, 60.00 60.00 60.00°
Atoms (fractional coordinates):
Y 0.3756 0.3756 0.3756
Y 0.3756 0.3756 0.8733
Y 0.3756 0.8733 0.3756
Y 0.8733 0.3756 0.3756
Co 0.0000 0.0000 0.0000
Ru 0.7500 0.7500 0.7500

The value obtained for the energy relative to the lowest polymorph listed for this composition is 1.2742 eV/atom. The calculation puts the density of states at the Fermi level at 1.4963 states/eV/atom. The calculation puts the electronic total energy at -5.997 eV/atom. As for the formation energy: 101 kJ per mole of atoms. Its space-group type is No. 216. The crystal system is cubic.



Below is an optimized crystal structure of HPdS2N, with properties calculated at the PBE level.

Cell: 3.3172 3.3172 7.1831 Å, 90.00 90.00 90.00°
Atoms (fractional coordinates):
H 0.0000 0.0000 0.0000
Pd 0.5000 0.5000 0.5000
S 0.0000 0.5000 0.0000
S 0.5000 0.0000 0.0000
N 0.0000 0.0000 0.5000

The value obtained for the energy relative to the lowest polymorph listed for this composition is 0.0000 eV/atom. The calculation puts the density of states at the Fermi level at 0.7600 states/eV/atom. The calculation puts the electronic total energy at -3.634 eV/atom. Its space-group type is No. 123. The crystal system is tetragonal.



Below is an optimized crystal structure of In2OsSe, with properties calculated at the PBE level.

Cell: 3.4555 3.4519 6.6461 Å, 90.00 96.37 90.00°
Atoms (fractional coordinates):
In 0.0315 0.0000 0.2288
In 0.9685 0.0000 0.7712
Os 0.5000 0.5000 0.0000
Se 0.5000 0.5000 0.5000

The calculation puts the density of states at the Fermi level at 0.2659 states/eV/atom. The calculation puts the electronic total energy at -4.662 eV/atom. The energy relative to the elements, uncorrected comes out at 386 meV/atom. Its space-group type is No. 10. The crystal system is monoclinic.



Below is an optimized crystal structure of Nd3InNi, with properties calculated at the PBE level.

Cell: 10.0977 6.7051 9.6341 Å, 90.00 113.28 90.00°
Atoms (fractional coordinates):
Nd 0.0802 0.0704 0.3590
Nd 0.0802 0.4296 0.8590
Nd 0.1962 0.5798 0.5468
Nd 0.1962 0.9202 0.0468
Nd 0.3919 0.0997 0.7728
Nd 0.3919 0.4003 0.2728
Nd 0.6081 0.5997 0.7272
Nd 0.6081 0.9003 0.2272
Nd 0.8038 0.0798 0.9532
Nd 0.8038 0.4202 0.4532
Nd 0.9198 0.5704 0.1410
Nd 0.9198 0.9296 0.6410
In 0.4001 0.6550 0.9171
In 0.4001 0.8450 0.4171
In 0.5999 0.1550 0.5829
In 0.5999 0.3450 0.0829
Ni 0.0978 0.2284 0.6232
Ni 0.0978 0.2716 0.1232
Ni 0.9022 0.7284 0.8768
Ni 0.9022 0.7716 0.3768

The value obtained for the energy relative to the lowest polymorph listed for this composition is 0.0360 eV/atom. The calculation puts the density of states at the Fermi level at 1.1170 states/eV/atom. The calculation puts the electronic total energy at -4.804 eV/atom. As for the formation energy: -23 kJ per mole of atoms. Its space-group type is No. 14. The crystal system is monoclinic.



Below is an optimized crystal structure of TbYSi2Pt5, with properties calculated at the PBE level.

Cell: 4.1880 4.1880 8.9805 Å, 90.00 90.00 90.00°
Atoms (fractional coordinates):
Tb 0.0000 0.0000 0.0000
Y 0.0000 0.0000 0.5000
Si 0.5000 0.5000 0.3688
Si 0.5000 0.5000 0.6312
Pt 0.0000 0.5000 0.2350
Pt 0.0000 0.5000 0.7650
Pt 0.5000 0.0000 0.2350
Pt 0.5000 0.0000 0.7650
Pt 0.5000 0.5000 0.0000

The calculation puts the density of states at the Fermi level at 0.3953 states/eV/atom. The calculation puts the electronic total energy at -6.902 eV/atom. The energy relative to the elements, uncorrected comes out at -1109 meV/atom. Its space-group type is No. 123. The crystal system is tetragonal.



Below is an optimized crystal structure of LaPaGe2Rh5, with properties calculated at the PBE level.

Cell: 4.0304 4.0304 11.4203 Å, 90.00 90.00 90.00°
Atoms (fractional coordinates):
La 0.0000 0.0000 0.0000
Pa 0.0000 0.0000 0.5000
Ge 0.5000 0.5000 0.2117
Ge 0.5000 0.5000 0.7883
Rh 0.0000 0.5000 0.3357
Rh 0.0000 0.5000 0.6643
Rh 0.5000 0.0000 0.3357
Rh 0.5000 0.0000 0.6643
Rh 0.5000 0.5000 0.0000

The calculation puts the density of states at the Fermi level at 0.3467 states/eV/atom. The calculation puts the electronic total energy at -7.394 eV/atom. As for the formation energy: -66 kJ per mole of atoms. Its space-group type is No. 123. The crystal system is tetragonal.



Below is an optimized crystal structure of Cd4Ag2Pd, with properties calculated at the PBE level.

Cell: 7.1773 5.4563 7.9789 Å, 90.00 116.31 90.00°
Atoms (fractional coordinates):
Cd 0.1241 0.2500 0.0722
Cd 0.1263 0.5017 0.7250
Cd 0.1263 0.9983 0.7250
Cd 0.2746 0.7500 0.3091
Cd 0.7254 0.2500 0.6909
Cd 0.8737 0.0017 0.2750
Cd 0.8737 0.4983 0.2750
Cd 0.8759 0.7500 0.9278
Ag 0.2890 0.2500 0.4948
Ag 0.4701 0.7500 0.0656
Ag 0.5299 0.2500 0.9344
Ag 0.7110 0.7500 0.5052
Pd 0.4582 0.7500 0.6985
Pd 0.5418 0.2500 0.3015

The value obtained for the energy relative to the lowest polymorph listed for this composition is 0.0821 eV/atom. The calculation puts the density of states at the Fermi level at 0.3835 states/eV/atom. The calculation puts the electronic total energy at -2.127 eV/atom. As for the formation energy: -5 kJ per mole of atoms. Its space-group type is No. 11. The crystal system is monoclinic.



Below is an optimized crystal structure of Sc2BeGaB, with properties calculated at the PBE level.

Cell: 5.1194 5.1194 3.7057 Å, 90.00 90.00 90.00°
Atoms (fractional coordinates):
Sc 0.0000 0.5000 0.0000
Sc 0.5000 0.0000 0.0000
Be 0.0000 0.0000 0.5000
Ga 0.5000 0.5000 0.0000
B 0.5000 0.5000 0.5000

The calculation puts the density of states at the Fermi level at 0.9064 states/eV/atom. The calculation puts the electronic total energy at -4.474 eV/atom. As for the formation energy: 72 kJ per mole of atoms. Its space-group type is No. 123. The crystal system is tetragonal.



Below is an optimized crystal structure of LaAl3Pb, with properties calculated at the PBE level.

Cell: 5.3303 5.3303 5.3303 Å, 90.00 90.00 90.00°
Atoms (fractional coordinates):
La 0.0000 0.0000 0.0000
Al 0.0000 0.5000 0.5000
Al 0.5000 0.0000 0.5000
Al 0.5000 0.5000 0.0000
Pb 0.5000 0.5000 0.5000

The value obtained for the energy relative to the lowest polymorph listed for this composition is 0.0000 eV/atom. The calculation puts the density of states at the Fermi level at 0.6091 states/eV/atom. The calculation puts the electronic total energy at -3.387 eV/atom. As for the formation energy: 57 kJ per mole of atoms. Its space-group type is No. 221. The crystal system is cubic.



Below is an optimized crystal structure of CoSbCl2, with properties calculated at the PBE level.

Cell: 9.3603 9.3603 9.3603 Å, 20.63 20.63 20.63°
Atoms (fractional coordinates):
Co 0.0000 0.0000 0.0000
Sb 0.5000 0.5000 0.5000
Cl 0.0773 0.0773 0.0773
Cl 0.9227 0.9227 0.9227

The value obtained for the energy relative to the lowest polymorph listed for this composition is 0.3398 eV/atom. The calculation puts the density of states at the Fermi level at 1.0543 states/eV/atom. The calculation puts the electronic total energy at -3.647 eV/atom. The energy relative to the elements, uncorrected comes out at 83 meV/atom. Its space-group type is No. 166. The crystal system is trigonal.